No. 1
Here is a crystal of SnAuSN2 relaxed with PBEsol from Alexandria via LeMat-Bulk. Energies are from meta-GGA SCAN.

Structure (CIF):
```
data_SnAuSN2
_symmetry_space_group_name_H-M 'P 4/m m m'
_symmetry_Int_Tables_number 123
_symmetry_space_group_name_Hall '-P 4 2'
_cell_length_a 4.0536
_cell_length_b 4.0536
_cell_length_c 5.0296
_cell_angle_alpha 90.00
_cell_angle_beta 90.00
_cell_angle_gamma 90.00
loop_
_atom_site_label
_atom_site_fract_x
_atom_site_fract_y
_atom_site_fract_z
Sn1 0.0000 0.0000 0.0000
Au1 0.5000 0.5000 0.5000
S1 0.5000 0.5000 0.0000
N1 0.0000 0.5000 0.5000
```

Summary:
- DOS(E_F): 0.493 states/eV/atom
- Formation energy (no corrections): 134.3 kJ/mol of atoms

=====

No. 2
Here is a crystal of InPH5NO5 relaxed with PBEsol from Alexandria via LeMat-Bulk. Energies are from meta-GGA SCAN.

Structure (CIF):
```
data_InPH5NO5
_symmetry_space_group_name_H-M 'P 43 21 2'
_symmetry_Int_Tables_number 96
_cell_length_a 9.4017
_cell_length_b 9.4017
_cell_length_c 11.1855
_cell_angle_alpha 90.00
_cell_angle_beta 90.00
_cell_angle_gamma 90.00
loop_
_symmetry_equiv_pos_as_xyz
'x,y,z'
'-y+1/2,x+1/2,z+3/4'
'-x,-y,z+1/2'
'y+1/2,-x+1/2,z+1/4'
'x+1/2,-y+1/2,-z+1/4'
'-y,-x,-z+1/2'
'-x+1/2,y+1/2,-z+3/4'
'y,x,-z'
loop_
_atom_site_label
_atom_site_fract_x
_atom_site_fract_y
_atom_site_fract_z
In1 0.0891 0.0891 0.0000
In2 0.1596 0.8404 0.2500
P1 0.1639 0.3039 0.7604
H1 0.0084 0.5451 0.7810
H2 0.0266 0.6933 0.6953
H3 0.0639 0.1223 0.6084
H4 0.0732 0.2988 0.3219
H5 0.1120 0.6807 0.8292
N1 0.0180 0.6554 0.7834
O1 0.0012 0.3285 0.7548
O2 0.0209 0.9373 0.1238
O3 0.0517 0.7337 0.5368
O4 0.2006 0.2051 0.1372
O5 0.2184 0.2352 0.6405
```

Summary:
- DOS(E_F): 0.000 states/eV/atom
- Total energy: -9.268 eV/atom

=====

No. 3
Here is a crystal of ZnIBr3 relaxed with PBEsol from Alexandria via LeMat-Bulk. Energies are from meta-GGA SCAN.

Structure (CIF):
```
data_ZnIBr3
_symmetry_space_group_name_H-M 'P m -3 m'
_symmetry_Int_Tables_number 221
_symmetry_space_group_name_Hall '-P 4 2 3'
_cell_length_a 5.1061
_cell_length_b 5.1061
_cell_length_c 5.1061
_cell_angle_alpha 90.00
_cell_angle_beta 90.00
_cell_angle_gamma 90.00
loop_
_atom_site_label
_atom_site_fract_x
_atom_site_fract_y
_atom_site_fract_z
Zn1 0.0000 0.0000 0.0000
I1 0.5000 0.5000 0.5000
Br1 0.0000 0.0000 0.5000
```

Summary:
- DOS(E_F): 0.268 states/eV/atom
- Formation energy (no corrections): -16.9 kJ/mol of atoms

=====

No. 4
Here is a crystal of ScFeRu relaxed with PBEsol from Alexandria via LeMat-Bulk. Energies are from meta-GGA SCAN.

Structure (CIF):
```
data_ScFeRu
_symmetry_space_group_name_H-M 'P 3 m 1'
_symmetry_Int_Tables_number 156
_cell_length_a 2.8559
_cell_length_b 2.8559
_cell_length_c 6.2794
_cell_angle_alpha 90.00
_cell_angle_beta 90.00
_cell_angle_gamma 120.00
loop_
_symmetry_equiv_pos_as_xyz
'x,y,z'
'-y,x-y,z'
'-x+y,-x,z'
'-y,-x,z'
'-x+y,y,z'
'x,x-y,z'
loop_
_atom_site_label
_atom_site_fract_x
_atom_site_fract_y
_atom_site_fract_z
Sc1 0.0000 0.0000 0.0000
Fe1 0.6667 0.3333 0.6533
Ru1 0.3333 0.6667 0.3489
```

Summary:
- DOS(E_F): 0.818 states/eV/atom
- Energy of formation: 0.165 eV per atom